ZrScNiHg: relaxed, GGA-PBE.

Lattice parameters (Å, degrees): 4.779 4.779 4.779 60.00 60.00 60.00
Sites, in units of the cell vectors:
Sc1 0.500 0.500 0.500
Ni1 0.250 0.250 0.250
Hg1 0.750 0.750 0.750
Zr1 0.000 0.000 0.000

Values from the calculation:
* total moment: 0.00 Bohr magnetons per cell
* symmetry: No. 216
* DOS(E_F): 5.1 states/eV/f.u.
* calculated formation energy: -0.91 eV per formula unit